PBE NaAcHoAl, relaxed; M_tot = 0.0 Bohr magnetons per cell; formation energy = 0.0043 eV per atom; space-group type = No. 216
1.0
-3.6404 2.2970 -3.4611
-3.6967 -3.1612 -2.6170
-5.3394 0.2698 1.3877
Na Al Ho Ac
1 1 1 1
Direct
0.0000 0.0000 0.0000 Na
0.5000 0.5000 0.5000 Al
0.2500 0.2500 0.2500 Ho
0.7500 0.7500 0.7500 Ac